Arrangement i

Here is a relaxed SmAl3Cu crystal from Alexandria via LeMat-Bulk. Energies are from PBE-GGA.

```
data_SmAl3Cu
_chemical_formula_sum 'Sm2 Al6 Cu2'
_symmetry_space_group_name_H-M 'C m m m'
_symmetry_Int_Tables_number 65
_symmetry_space_group_name_Hall '-C 2 2'
_cell_length_a 6.558
_cell_length_b 6.573
_cell_length_c 4.679
_cell_angle_alpha 90.00
_cell_angle_beta 90.00
_cell_angle_gamma 90.00
loop_
_atom_site_label
_atom_site_fract_x
_atom_site_fract_y
_atom_site_fract_z
Sm1 0.000 0.000 0.000
Al1 0.000 0.500 0.000
Al2 0.250 0.250 0.500
Cu1 0.000 0.500 0.500
```


Arrangement ii

Here is a relaxed SmAl3Cu crystal from Alexandria via LeMat-Bulk. Energies are from PBE-GGA.

```
data_SmAl3Cu
_chemical_formula_sum 'Sm2 Al6 Cu2'
_symmetry_space_group_name_H-M 'I 4 m m'
_symmetry_Int_Tables_number 107
_symmetry_space_group_name_Hall 'I 4 -2'
_cell_length_a 4.201
_cell_length_b 4.201
_cell_length_c 10.651
_cell_angle_alpha 90.00
_cell_angle_beta 90.00
_cell_angle_gamma 90.00
loop_
_atom_site_label
_atom_site_fract_x
_atom_site_fract_y
_atom_site_fract_z
Sm1 0.000 0.000 0.000
Al1 0.000 0.000 0.594
Al2 0.000 0.500 0.252
Cu1 0.000 0.000 0.371
```


Which of them is the most stable, and which is the least stable? arrangement ii and arrangement i, in that order.


Arrangement i

Here is a relaxed Sm2Al5Cu3 crystal from Alexandria via LeMat-Bulk. Energies are from PBE-GGA.

```
data_Sm2Al5Cu3
_chemical_formula_sum 'Sm8 Al20 Cu12'
_symmetry_space_group_name_H-M 'C 1 2/c 1'
_symmetry_Int_Tables_number 15
_symmetry_space_group_name_Hall '-C 2yc'
_cell_length_a 11.955
_cell_length_b 11.878
_cell_length_c 5.947
_cell_angle_alpha 90.00
_cell_angle_beta 119.74
_cell_angle_gamma 90.00
loop_
_atom_site_label
_atom_site_fract_x
_atom_site_fract_y
_atom_site_fract_z
Sm1 0.243 0.131 0.243
Al1 0.000 0.000 0.250
Al2 0.000 0.254 0.250
Al3 0.000 0.254 0.750
Al4 0.144 0.391 0.145
Cu1 0.000 0.499 0.750
Cu2 0.124 0.127 0.624
```


Arrangement ii

Here is a relaxed Sm2Al5Cu3 crystal from Alexandria via LeMat-Bulk. Energies are from PBE-GGA.

```
data_Sm2Al5Cu3
_chemical_formula_sum 'Sm2 Al5 Cu3'
_symmetry_space_group_name_H-M 'P -4 m 2'
_symmetry_Int_Tables_number 115
_symmetry_space_group_name_Hall 'P -4 -2'
_cell_length_a 4.257
_cell_length_b 4.257
_cell_length_c 10.296
_cell_angle_alpha 90.00
_cell_angle_beta 90.00
_cell_angle_gamma 90.00
loop_
_atom_site_label
_atom_site_fract_x
_atom_site_fract_y
_atom_site_fract_z
Sm1 0.000 0.500 0.237
Al1 0.000 0.000 0.500
Al2 0.000 0.500 0.658
Al3 0.500 0.500 0.000
Al4 0.500 0.500 0.500
Cu1 0.000 0.000 0.000
Cu2 0.000 0.500 0.886
```


Which of them is the most stable, and which is the least stable? arrangement i and arrangement ii, in that order.